Density functional theory data (PBE) for a relaxed LiTcPb2 crystal.

Cell: 3.765 3.765 5.762 Å, 90.00 90.00 90.00°
Sites, in units of the cell vectors:
1 Tc 0.000 0.000 0.491
2 Pb 0.000 0.000 0.965
3 Pb 0.500 0.500 0.294
4 Li 0.500 0.500 0.750

Calculated values
DOS(E_F) (states/eV/f.u.): 1.536
Calculated total energy (eV for the cell shown): -18.35
Calculated formation energy (eV per atom): 0.34
Offset from the most stable computed form (meV per atom): 91.8